Record 1
This record from Alexandria via LeMat-Bulk describes a relaxed PrPuNiN3 crystal. The functional is PBE-GGA.

The structure in POSCAR format:
```
PrPuNiN3
1.0
7.1240 0.0000 0.0000
0.0000 3.4404 0.0000
-1.4135 0.0000 7.1381
Pr Pu Ni N
2 2 2 6
Direct
0.1793 0.2500 0.2150 Pr
0.8207 0.7500 0.7850 Pr
0.3372 0.7500 0.8283 Pu
0.6628 0.2500 0.1717 Pu
0.0931 0.2500 0.5812 Ni
0.9069 0.7500 0.4188 Ni
0.1322 0.2500 0.8621 N
0.1885 0.7500 0.5041 N
0.4333 0.7500 0.1402 N
0.5667 0.2500 0.8598 N
0.8115 0.2500 0.4959 N
0.8678 0.7500 0.1379 N
```

Results
The energy is -9.117 eV/atom. As for the uncorrected formation energy: -0.8054 eV/atom. For the magnetic moment, the calculation gives 0.54 μB per atom.

Record 2
This record from Alexandria via LeMat-Bulk describes a relaxed PrPu2NiN4 crystal. The functional is PBE-GGA.

The structure in POSCAR format:
```
PrPu2NiN4
1.0
1.7352 -5.6429 0.0000
1.7352 5.6429 0.0000
0.0000 0.0000 11.4157
Pr Pu Ni N
2 4 2 8
Direct
0.1019 0.8981 0.7500 Pr
0.8981 0.1019 0.2500 Pr
0.3693 0.6307 0.5570 Pu
0.3693 0.6307 0.9430 Pu
0.6307 0.3693 0.0570 Pu
0.6307 0.3693 0.4430 Pu
0.1635 0.8365 0.2500 Ni
0.8365 0.1635 0.7500 Ni
0.0000 0.0000 0.0000 N
0.0000 0.0000 0.5000 N
0.2624 0.7376 0.1099 N
0.2624 0.7376 0.3901 N
0.4371 0.5629 0.7500 N
0.5629 0.4371 0.2500 N
0.7376 0.2624 0.6099 N
0.7376 0.2624 0.8901 N
```

Results
The energy is -10.111 eV/atom. As for the uncorrected formation energy: -1.0449 eV/atom. For the magnetic moment, the calculation gives 0.87 μB per atom.